{"formula": "Sc2TlMoC", "functional": "PBE", "state": "relaxed", "dft_energy_ev_per_atom": -7.3518, "ef_ev_per_atom": -0.335, "spacegroup": "P4/mmm (123)", "total_magnetization_mub_per_fu": 0.00, "lattice": [[-1.707, 1.728, 3.894], [3.240, -2.197, 2.395], [2.500, 3.289, -0.364]], "species": ["C", "Sc", "Sc", "Tl", "Mo"], "frac_coords": [[0.000, 0.000, 0.000], [0.500, 0.000, 0.000], [0.000, 0.500, 0.000], [0.500, 0.500, 0.500], [0.000, 0.000, 0.500]]}